# 1
DFT (PBE) results for crystalline Cs3Rb3Ag4 at its relaxed geometry.

Results
As for the mass density: 3.59 g/cm³. As for the uncorrected energy: -1.635 eV/atom. As for the formation energy: 0.52 eV per formula unit.

a b c (Å): 5.454 9.605 9.605
angles (deg): 90.23 90.00 90.00
Fractional coordinates of all 10 atoms:
1 Cs 0.000 0.000 0.000
2 Cs 0.000 0.498 0.831
3 Cs 0.000 0.831 0.498
4 Rb 0.000 0.331 0.331
5 Rb 0.500 0.167 0.662
6 Rb 0.500 0.662 0.167
7 Ag 0.500 0.063 0.276
8 Ag 0.500 0.276 0.063
9 Ag 0.500 0.554 0.554
10 Ag 0.500 0.769 0.769


# 2
DFT (PBE) results for crystalline CsRb8Ag2 at its relaxed geometry.

Results
As for the mass density: 2.16 g/cm³. As for the uncorrected energy: -1.241 eV/atom. As for the formation energy: 0.64 eV per formula unit.

a b c (Å): 11.088 11.088 7.223
angles (deg): 108.89 108.89 80.87
Fractional coordinates of all 11 atoms:
1 Cs 0.000 0.000 0.000
2 Rb 0.153 0.489 0.322
3 Rb 0.182 0.182 0.682
4 Rb 0.313 0.687 0.000
5 Rb 0.489 0.153 0.322
6 Rb 0.511 0.847 0.678
7 Rb 0.687 0.313 0.000
8 Rb 0.818 0.818 0.318
9 Rb 0.847 0.511 0.678
10 Ag 0.165 0.835 0.500
11 Ag 0.835 0.165 0.500


# 3
DFT (PBE) results for crystalline CsRbAg3 at its relaxed geometry.

Results
As for the mass density: 4.66 g/cm³. As for the uncorrected energy: -1.985 eV/atom. Its energy relative to the lowest polymorph listed for this composition is 0.0000 eV/atom. As for the formation energy: 0.45 eV per formula unit.

a b c (Å): 5.614 12.018 11.461
angles (deg): 90.00 90.00 90.00
Fractional coordinates of all 20 atoms:
1 Cs 0.001 0.250 0.070
2 Cs 0.499 0.750 0.570
3 Cs 0.501 0.250 0.430
4 Cs 0.999 0.750 0.930
5 Rb 0.000 0.000 0.500
6 Rb 0.000 0.500 0.500
7 Rb 0.500 0.000 0.000
8 Rb 0.500 0.500 0.000
9 Ag 0.004 0.045 0.785
10 Ag 0.004 0.455 0.785
11 Ag 0.246 0.750 0.251
12 Ag 0.254 0.250 0.751
13 Ag 0.496 0.545 0.285
14 Ag 0.496 0.955 0.285
15 Ag 0.504 0.045 0.715
16 Ag 0.504 0.455 0.715
17 Ag 0.746 0.750 0.249
18 Ag 0.754 0.250 0.749
19 Ag 0.996 0.545 0.215
20 Ag 0.996 0.955 0.215


# 4
DFT (PBE) results for crystalline CsRbAgRh2 at its relaxed geometry.

Results
As for the mass density: 5.35 g/cm³. As for the uncorrected energy: -2.206 eV/atom. As for the formation energy: 8.34 eV per formula unit.

a b c (Å): 5.141 5.141 6.247
angles (deg): 90.00 90.00 90.00
Fractional coordinates of all 5 atoms:
1 Cs 0.000 0.000 0.000
2 Rb 0.000 0.000 0.500
3 Ag 0.500 0.500 0.000
4 Rh 0.000 0.500 0.500
5 Rh 0.500 0.000 0.500


# 5
DFT (PBE) results for crystalline CsRbAg2Ru at its relaxed geometry.

Results
As for the mass density: 5.22 g/cm³. As for the uncorrected energy: -2.608 eV/atom. As for the formation energy: 3.76 eV per formula unit.

a b c (Å): 5.404 5.404 5.828
angles (deg): 90.00 90.00 90.00
Fractional coordinates of all 5 atoms:
1 Cs 0.000 0.000 0.000
2 Rb 0.500 0.500 0.000
3 Ag 0.000 0.500 0.500
4 Ag 0.500 0.000 0.500
5 Ru 0.500 0.500 0.500


# 6
DFT (PBE) results for crystalline Cs2RbAgSb at its relaxed geometry.

Results
The calculation puts the formation energy without anion corrections at -109 meV/atom. As for the mass density: 3.50 g/cm³. As for the uncorrected energy: -2.039 eV/atom.

a b c (Å): 7.210 7.210 5.294
angles (deg): 90.00 90.00 90.00
Fractional coordinates of all 5 atoms:
1 Cs 0.000 0.500 0.000
2 Cs 0.500 0.000 0.000
3 Rb 0.000 0.000 0.500
4 Ag 0.500 0.500 0.000
5 Sb 0.500 0.500 0.500


# 7
DFT (PBE) results for crystalline Cs2RbAgSe at its relaxed geometry.

Results
The calculation puts the formation energy without anion corrections at 177 meV/atom. As for the mass density: 3.00 g/cm³. As for the uncorrected energy: -1.625 eV/atom. Its energy relative to the lowest polymorph listed for this composition is 0.6843 eV/atom.

a b c (Å): 7.211 7.211 5.726
angles (deg): 90.00 90.00 90.00
Fractional coordinates of all 5 atoms:
1 Cs 0.000 0.500 0.000
2 Cs 0.500 0.000 0.000
3 Rb 0.000 0.000 0.000
4 Ag 0.000 0.000 0.500
5 Se 0.500 0.500 0.500


# 8
DFT (PBE) results for crystalline CsRb2AgSe at its relaxed geometry.

Results
The calculation puts the formation energy without anion corrections at -500 meV/atom. As for the mass density: 2.72 g/cm³. As for the uncorrected energy: -2.325 eV/atom.

a b c (Å): 6.586 6.586 6.899
angles (deg): 90.00 90.00 90.00
Fractional coordinates of all 5 atoms:
1 Cs 0.000 0.000 0.000
2 Rb 0.000 0.500 0.500
3 Rb 0.500 0.000 0.500
4 Ag 0.500 0.500 0.000
5 Se 0.000 0.000 0.500


Q: Look up the uncorrected energy of the second one.
A: -1.241 eV/atom


Q: Among the records above, which one has the lowest mass density?
A: CsRb8Ag2